ScFe4P12: relaxed, PBE.

The electronic total energy is -114.159 eV for the cell shown. Its crystal system is cubic. For the formation energy, the calculation gives -533 meV/atom.

Geometry as CIF:
```
data_ScFe4P12
_chemical_formula_sum 'Sc1 Fe4 P12'
_cell_length_a 6.7085
_cell_length_b 6.7085
_cell_length_c 6.7085
_cell_angle_alpha 109.47
_cell_angle_beta 109.47
_cell_angle_gamma 109.47
_space_group_name_H-M_alt 'P 1'
_space_group_IT_number 1
_space_group_name_Hall 'P 1'
loop_
_atom_site_label
_atom_site_fract_x
_atom_site_fract_y
_atom_site_fract_z
Sc1 0.0000 0.0000 0.0000
Fe1 0.0000 0.5000 0.0000
Fe2 0.5000 0.0000 0.0000
Fe3 0.5000 0.5000 0.5000
Fe4 0.0000 0.0000 0.5000
P1 0.8508 0.3507 0.2016
P2 0.3507 0.4999 0.1492
P3 0.7984 0.1492 0.6493
P4 0.3507 0.2016 0.8508
P5 0.2016 0.8508 0.3507
P6 0.6493 0.5001 0.8508
P7 0.4999 0.1492 0.3507
P8 0.5001 0.8508 0.6493
P9 0.6493 0.7984 0.1492
P10 0.8508 0.6493 0.5001
P11 0.1492 0.3507 0.4999
P12 0.1492 0.6493 0.7984
```

ScFeP2: relaxed, PBE.

The electronic total energy is -27.111 eV for the cell shown. The value obtained for the excess energy over the best structure of this formula in the dataset is 408 meV per atom. Its crystal system is cubic. For the formation energy, the calculation gives -374 meV/atom.

Geometry as CIF:
```
data_ScFeP2
_chemical_formula_sum 'Sc1 Fe1 P2'
_cell_length_a 4.3288
_cell_length_b 4.3288
_cell_length_c 4.3288
_cell_angle_alpha 60.00
_cell_angle_beta 60.00
_cell_angle_gamma 60.00
_space_group_name_H-M_alt 'P 1'
_space_group_IT_number 1
_space_group_name_Hall 'P 1'
loop_
_atom_site_label
_atom_site_fract_x
_atom_site_fract_y
_atom_site_fract_z
Sc1 0.0000 0.0000 0.0000
P1 0.2500 0.2500 0.2500
P2 0.7500 0.7500 0.7500
Fe1 0.5000 0.5000 0.5000
```

ScFeP2: relaxed, PBE.

The electronic total energy is -25.904 eV for the cell shown. The value obtained for the excess energy over the best structure of this formula in the dataset is 710 meV per atom. Its crystal system is trigonal. For the formation energy, the calculation gives -72 meV/atom.

Geometry as CIF:
```
data_ScFeP2
_chemical_formula_sum 'Sc1 Fe1 P2'
_cell_length_a 7.4844
_cell_length_b 7.4844
_cell_length_c 7.4844
_cell_angle_alpha 23.80
_cell_angle_beta 23.80
_cell_angle_gamma 23.80
_space_group_name_H-M_alt 'P 1'
_space_group_IT_number 1
_space_group_name_Hall 'P 1'
loop_
_atom_site_label
_atom_site_fract_x
_atom_site_fract_y
_atom_site_fract_z
Fe1 0.7374 0.7374 0.7374
P1 0.0043 0.0043 0.0043
P2 0.2601 0.2601 0.2601
Sc1 0.4982 0.4982 0.4982
```

ScFeP: relaxed, PBE.

The electronic total energy is -139.690 eV for the cell shown. Its crystal system is monoclinic. For the formation energy, the calculation gives -1026 meV/atom.

Geometry as CIF:
```
data_ScFeP
_chemical_formula_sum 'Sc6 Fe6 P6'
_cell_length_a 3.6995
_cell_length_b 6.3446
_cell_length_c 10.7377
_cell_angle_alpha 89.81
_cell_angle_beta 90.00
_cell_angle_gamma 90.00
_space_group_name_H-M_alt 'P 1'
_space_group_IT_number 1
_space_group_name_Hall 'P 1'
loop_
_atom_site_label
_atom_site_fract_x
_atom_site_fract_y
_atom_site_fract_z
Sc1 0.7500 0.5151 0.3767
Sc2 0.2500 0.9864 0.7068
Sc3 0.7500 0.0136 0.2932
Sc4 0.7500 0.6501 0.0795
Sc5 0.2500 0.4849 0.6233
Sc6 0.2500 0.3499 0.9205
Fe1 0.2500 0.9964 0.0796
Fe2 0.2500 0.8476 0.4624
Fe3 0.7500 0.6543 0.7907
Fe4 0.7500 0.1524 0.5376
Fe5 0.2500 0.3457 0.2093
Fe6 0.7500 0.0036 0.9204
P1 0.2500 0.7620 0.9104
P2 0.7500 0.2765 0.7474
P3 0.7500 0.7900 0.5740
P4 0.7500 0.2380 0.0896
P5 0.2500 0.2100 0.4260
P6 0.2500 0.7235 0.2526
```